The following is a DFT calculation (PBE) of a relaxed structure of MnCdAs2.

Geometry as POSCAR:
```
MnCdAs2
1.0
7.327 -1.468 0.000
7.327 1.468 0.000
-0.002 0.000 3.845
Mn Cd As
1 1 2
Cartesian
0.000 0.000 0.000 Mn
3.667 0.000 1.928 Cd
6.358 0.000 1.922 As
9.402 0.000 0.003 As
```

Computed properties:
Formation energy: 1.6 kJ/mol of atoms
Total magnetic moment: 0.81 μB/atom
E: -4.8289 eV/atom
Density: 6.4 Mg/m³


The following is a DFT calculation (PBE) of a relaxed structure of Mn3CdAs.

Geometry as POSCAR:
```
Mn3CdAs
1.0
4.921 0.000 0.000
0.000 4.921 0.000
0.000 0.000 4.921
Mn Cd As
3 1 1
Cartesian
0.000 0.000 2.460 Mn
0.000 2.460 0.000 Mn
2.460 0.000 0.000 Mn
0.000 0.000 0.000 Cd
2.460 2.460 2.460 As
```

Computed properties:
ΔE to the lowest computed polymorph: 755 meV per atom
Formation energy: 117.0 kJ/mol of atoms
Total magnetic moment: 2.43 μB/atom
E: -5.4018 eV/atom
Density: 4.9 Mg/m³


Among the records above, which one has the lowest density? Mn3CdAs